No. 1
Crystalline Tc3PPt at its relaxed geometry, computed with PBE.

The value obtained for the density of states at the Fermi level is 1.495 states/eV per atom. The crystal system is cubic. The calculation puts the offset from the most stable computed form at 8.187 eV/f.u. The calculation puts the energy of formation from the pure elements at 206.4 kJ/mol of atoms.

Cell lengths 4.742, 4.742, 4.742 Å; angles 90.00, 90.00, 90.00 degrees
Space group Pm-3m (No. 221)
Symmetry-distinct sites (fractional):
1 Tc 0.000 0.000 0.500 x3
2 P 0.500 0.500 0.500 x1
3 Pt 0.000 0.000 0.000 x1

***

No. 2
Crystalline Tc2PPt at its relaxed geometry, computed with PBE.

The value obtained for the density of states at the Fermi level is 1.006 states/eV per atom. The crystal system is orthorhombic. The calculation puts the energy of formation from the pure elements at 24.2 kJ/mol of atoms.

Cell lengths 2.952, 4.687, 8.507 Å; angles 90.00, 90.00, 90.00 degrees
Space group Cmm2 (No. 35)
Symmetry-distinct sites (fractional):
1 Tc 0.000 0.000 0.000 x2
2 Tc 0.000 0.500 0.262 x2
3 P 0.000 0.000 0.480 x2
4 Pt 0.000 0.500 0.721 x2

***

No. 3
Crystalline Tc2PPt at its relaxed geometry, computed with PBE.

The value obtained for the density of states at the Fermi level is 0.803 states/eV per atom. The crystal system is orthorhombic. The calculation puts the energy of formation from the pure elements at 1.6 kJ/mol of atoms.

Cell lengths 2.833, 3.766, 5.530 Å; angles 90.00, 90.00, 90.00 degrees
Space group Pmm2 (No. 25)
Symmetry-distinct sites (fractional):
1 Tc 0.000 0.000 0.000 x1
2 Tc 0.500 0.500 0.225 x1
3 P 0.000 0.000 0.427 x1
4 Pt 0.500 0.500 0.731 x1